1.
The following is a DFT calculation (PBE-GGA) of a relaxed Dy8Bi2Pd crystal.

As for the space-group type: C2/m, No. 12.

Cell lengths 5.1245, 6.8721, 9.4375 Å; angles 88.15, 105.75, 90.00 degrees
Atoms (fractional coordinates):
Dy 0.4093 0.4301 0.8186
Dy 0.6487 0.0857 0.2974
Dy 0.7868 0.6347 0.5736
Dy 0.0255 0.2415 0.0510
Dy 0.2132 0.3653 0.4264
Dy 0.3513 0.9143 0.7026
Dy 0.5907 0.5699 0.1814
Dy 0.9745 0.7585 0.9490
Bi 0.8284 0.1754 0.6568
Bi 0.1716 0.8246 0.3432
Pd 0.5000 0.0000 0.0000



2.
The following is a DFT calculation (PBE-GGA) of a relaxed SiPb2Br2 crystal.

As for the formation energy without anion corrections: -3.17 kJ per mole of atoms. As for the space-group type: P4/mbm, No. 127.

Cell lengths 7.7795, 7.7795, 5.0166 Å; angles 90.00, 90.00, 90.00 degrees
Atoms (fractional coordinates):
Pb 0.3431 0.8431 0.0000
Pb 0.8431 0.6569 0.0000
Pb 0.6569 0.1569 0.0000
Pb 0.1569 0.3431 0.0000
Si 0.0000 0.0000 0.0000
Si 0.5000 0.5000 0.0000
Br 0.1808 0.6808 0.5000
Br 0.6808 0.8192 0.5000
Br 0.8192 0.3192 0.5000
Br 0.3192 0.1808 0.5000



3.
The following is a DFT calculation (PBE-GGA) of a relaxed MnPbW crystal.

As for the space-group type: P3m1, No. 156.

Cell lengths 4.4995, 4.4995, 3.0411 Å; angles 90.00, 90.00, 120.00 degrees
Each line ends with the local moment (μB).
Atoms (fractional coordinates):
Mn 0.0000 0.0000 0.9796  2.73
Pb 0.6667 0.3333 0.2865  0.02
W 0.3333 0.6667 0.7339  -0.44



| no. | spin magnetization (μB per atom) | calculated total energy (eV for the cell shown) |
| --- | --- | --- |
| 1 | 0.0000 | -54.202 |
| 2 | 0.0000 | -32.699 |
| 3 | 0.7801 | -23.199 |